A plane-wave DFT calculation with GGA-PBE was carried out for a relaxed structure of BaGa2CuPt.

a b c (Å): 4.841 4.841 5.094
angles (deg): 90.00 90.00 90.00
Space group P4/mmm (No. 123)
Symmetry-distinct sites (fractional):
Ba  0.000  0.000  0.000 [1 per cell]
Ga  0.000  0.500  0.500 [2 per cell]
Cu  0.500  0.500  0.000 [1 per cell]
Pt  0.500  0.500  0.500 [1 per cell]

density	7.45	Mg/m³
crystal system	tetragonal
energy of formation	-0.384	eV/atom
magnetic moment	0.000	μB per atom
volume	119.4	Å³ per cell
total DFT energy (no corrections)	-0.1472	Ha/atom
ΔE to the lowest computed polymorph	0	meV per atom



A plane-wave DFT calculation with GGA-PBE was carried out for a relaxed structure of BaGaCuPt2.

a b c (Å): 6.003 11.744 6.388
angles (deg): 90.00 90.00 90.00
Space group Cmme (No. 67)
Symmetry-distinct sites (fractional):
Ba  0.000  0.250  0.221 [4 per cell]
Ga  0.250  0.000  0.500 [4 per cell]
Cu  0.000  0.000  0.000 [4 per cell]
Pt  0.000  0.136  0.700 [8 per cell]

density	9.75	Mg/m³
crystal system	orthorhombic
energy of formation	-0.430	eV/atom
magnetic moment	0.000	μB per atom
volume	450.3	Å³ per cell
total DFT energy (no corrections)	-0.1711	Ha/atom



A plane-wave DFT calculation with GGA-PBE was carried out for a relaxed structure of BaGa4CuPt2.

a b c (Å): 4.3426 4.3426 29.0903
angles (deg): 90.00 90.00 120.00
Space group R-3m (No. 166, hexagonal axes)
Symmetry-distinct sites (fractional):
Ba  0.0000  0.0000  0.0000 [3 per cell]
Ga  0.0000  0.0000  0.1336 [6 per cell]
Ga  0.0000  0.0000  0.4100 [6 per cell]
Cu  0.0000  0.0000  0.5000 [3 per cell]
Pt  0.0000  0.0000  0.2260 [6 per cell]

density	9.12	Mg/m³
crystal system	trigonal
energy of formation	-0.529	eV/atom
magnetic moment	0.000	μB per atom
volume	475.1	Å³ per cell
total DFT energy (no corrections)	-0.1582	Ha/atom



A plane-wave DFT calculation with GGA-PBE was carried out for a relaxed structure of BaGa2CuRe.

a b c (Å): 5.937 5.937 5.418
angles (deg): 90.00 90.00 90.00
Space group P4/mmm (No. 123)
Symmetry-distinct sites (fractional):
Ba  0.000  0.000  0.000 [1 per cell]
Ga  0.000  0.500  0.000 [2 per cell]
Cu  0.500  0.500  0.500 [1 per cell]
Re  0.000  0.000  0.500 [1 per cell]

density	4.58	Mg/m³
crystal system	tetragonal
energy of formation	2.240	eV/atom
magnetic moment	0.440	μB per atom
volume	191.0	Å³ per cell
total DFT energy (no corrections)	-0.0979	Ha/atom



A plane-wave DFT calculation with GGA-PBE was carried out for a relaxed structure of Ba2GaCuRh.

a b c (Å): 5.992 5.992 4.801
angles (deg): 90.00 90.00 90.00
Space group P4/mmm (No. 123)
Symmetry-distinct sites (fractional):
Ba  0.000  0.500  0.000 [2 per cell]
Ga  0.000  0.000  0.500 [1 per cell]
Cu  0.500  0.500  0.500 [1 per cell]
Rh  0.000  0.000  0.000 [1 per cell]

density	4.92	Mg/m³
crystal system	tetragonal
energy of formation	-0.109	eV/atom
magnetic moment	0.000	μB per atom
volume	172.4	Å³ per cell
total DFT energy (no corrections)	-0.1387	Ha/atom



A plane-wave DFT calculation with GGA-PBE was carried out for a relaxed structure of BaGa2CuRh.

a b c (Å): 4.780 4.780 5.102
angles (deg): 90.00 90.00 90.00
Space group P4/mmm (No. 123)
Symmetry-distinct sites (fractional):
Ba  0.000  0.000  0.000 [1 per cell]
Ga  0.000  0.500  0.500 [2 per cell]
Cu  0.500  0.500  0.000 [1 per cell]
Rh  0.500  0.500  0.500 [1 per cell]

density	6.31	Mg/m³
crystal system	tetragonal
energy of formation	-0.358	eV/atom
magnetic moment	0.000	μB per atom
volume	116.6	Å³ per cell
total DFT energy (no corrections)	-0.1559	Ha/atom



A plane-wave DFT calculation with GGA-PBE was carried out for a relaxed structure of Ba2Ga6CuRu.

a b c (Å): 6.652 6.680 7.018
angles (deg): 62.20 61.83 60.27
Space group P-1 (No. 2)
Symmetry-distinct sites (fractional):
Ba  0.212  0.211  0.364 [2 per cell]
Ga  0.250  0.663  0.833 [2 per cell]
Ga  0.253  0.251  0.832 [2 per cell]
Ga  0.336  0.747  0.168 [2 per cell]
Cu  0.500  0.500  0.500 [1 per cell]
Ru  0.000  0.000  0.000 [1 per cell]

density	6.26	Mg/m³
crystal system	triclinic
energy of formation	-0.347	eV/atom
magnetic moment	0.000	μB per atom
volume	227.5	Å³ per cell
total DFT energy (no corrections)	-0.1428	Ha/atom



A plane-wave DFT calculation with GGA-PBE was carried out for a relaxed structure of BaGa2CuRu.

a b c (Å): 4.795 4.795 5.089
angles (deg): 90.00 90.00 90.00
Space group P4/mmm (No. 123)
Symmetry-distinct sites (fractional):
Ba  0.000  0.000  0.000 [1 per cell]
Ga  0.000  0.500  0.500 [2 per cell]
Cu  0.500  0.500  0.000 [1 per cell]
Ru  0.500  0.500  0.500 [1 per cell]

density	6.27	Mg/m³
crystal system	tetragonal
energy of formation	-0.220	eV/atom
magnetic moment	0.000	μB per atom
volume	117.0	Å³ per cell
total DFT energy (no corrections)	-0.1650	Ha/atom



A plane-wave DFT calculation with GGA-PBE was carried out for a relaxed structure of BaGaCu2S4.

a b c (Å): 6.427 6.440 8.357
angles (deg): 90.00 90.00 90.00
Space group I222 (No. 23)
Symmetry-distinct sites (fractional):
Ba  0.000  0.000  0.000 [2 per cell]
Ga  0.000  0.000  0.500 [2 per cell]
Cu  0.000  0.500  0.249 [4 per cell]
S  0.199  0.198  0.329 [8 per cell]

density	4.44	Mg/m³
energy relative to the elements, uncorrected	-811	meV per atom
crystal system	orthorhombic
magnetic moment	0.000	μB per atom
volume	345.9	Å³ per cell
total DFT energy (no corrections)	-0.1660	Ha/atom



A plane-wave DFT calculation with GGA-PBE was carried out for a relaxed structure of Ba3GaCu2S6.

a b c (Å): 7.1081 7.1081 8.0278
angles (deg): 90.00 90.00 120.00
Space group P-3m1 (No. 164)
Symmetry-distinct sites (fractional):
Ba  0.0000  0.0000  0.0000 [1 per cell]
Ba  0.3333  0.6667  0.6430 [2 per cell]
Ga  0.0000  0.0000  0.5000 [1 per cell]
Cu  0.3333  0.6667  0.2605 [2 per cell]
S  0.1585  0.3169  0.3043 [6 per cell]

density	3.79	Mg/m³
energy relative to the elements, uncorrected	-1017	meV per atom
crystal system	trigonal
magnetic moment	0.000	μB per atom
volume	351.3	Å³ per cell
total DFT energy (no corrections)	-0.1652	Ha/atom



A plane-wave DFT calculation with GGA-PBE was carried out for a relaxed structure of Ba2Ga2CuS6.

a b c (Å): 6.9732 6.9732 20.0527
angles (deg): 90.00 90.00 120.00
Space group R-3m (No. 166, hexagonal axes)
Symmetry-distinct sites (fractional):
Ba  0.0000  0.0000  0.2206 [6 per cell]
Ga  0.0000  0.0000  0.4169 [6 per cell]
Cu  0.0000  0.0000  0.0000 [3 per cell]
S  0.0295  0.5147  0.7506 [18 per cell]

density	3.95	Mg/m³
energy relative to the elements, uncorrected	-906	meV per atom
crystal system	trigonal
magnetic moment	0.002	μB per atom
volume	844.4	Å³ per cell
total DFT energy (no corrections)	-0.1628	Ha/atom



A plane-wave DFT calculation with GGA-PBE was carried out for a relaxed structure of BaGaCu2Sb.

a b c (Å): 4.776 4.776 6.063
angles (deg): 90.00 90.00 90.00
Space group P4/mmm (No. 123)
Symmetry-distinct sites (fractional):
Ba  0.000  0.000  0.000 [1 per cell]
Ga  0.000  0.000  0.500 [1 per cell]
Cu  0.000  0.500  0.500 [2 per cell]
Sb  0.500  0.500  0.000 [1 per cell]

density	5.47	Mg/m³
energy relative to the elements, uncorrected	263	meV per atom
crystal system	tetragonal
magnetic moment	0.000	μB per atom
volume	138.3	Å³ per cell
total DFT energy (no corrections)	-0.1172	Ha/atom